Crystalline CdCu3Ge at its relaxed geometry. Source: Alexandria via LeMat-Bulk, functional PBE.

Geometry as POSCAR:
```
CdCu3Ge
1.0
-3.760 4.559 2.614
3.760 -4.559 2.614
3.760 4.559 -2.614
Cd Cu Ge
2 6 2
direct
0.351 0.101 0.250 Cd
0.649 0.899 0.750 Cd
0.145 0.395 0.750 Cu
0.162 0.000 0.662 Cu
0.162 0.500 0.162 Cu
0.838 0.000 0.338 Cu
0.838 0.500 0.838 Cu
0.855 0.605 0.250 Cu
0.000 0.500 0.500 Ge
0.500 0.500 0.000 Ge
```

For the energy above the most stable polymorph in this dataset, the calculation gives 0 meV/atom. The value obtained for the energy of formation from the pure elements is 0.21 eV per atom. Its calculated volume is 17.9 Å³/atom. As for the crystal system: orthorhombic. The total energy is -33.54 eV for the cell shown. As for the space group: Imma, No. 74.